## Na2InNiF8 (PBE with a Hubbard U)

Data for an optimized crystal structure of Na2InNiF8.

Cell lengths 5.0482, 6.5230, 5.0865 Å; angles 90.00, 92.22, 90.00 degrees
Closest atoms and distances in Å follow each position.
Space group P2/m (No. 10)
Inequivalent atoms, fractional coordinates:
Na (0.0000, 0.2417, 0.0000) x2  6 F 2.24-2.36
In (0.5000, 0.5000, 0.5000) x1  6 F 2.03-2.18
Ni (0.5000, 0.0000, 0.5000) x1  6 F 1.85-1.98
F (0.2092, 0.5000, 0.2128) x2  1 In 2.03, 2 Na 2.24
F (0.2355, 0.0000, 0.2385) x2  1 Ni 1.85
F (0.3231, 0.2301, 0.6772) x4  1 Ni 1.98, 1 In 2.18

Output
- volume (A^3/atom) = 13.95
- magnetic moment (μB/f.u.) = 3.2
- E_tot (eV/atom) = -4.265
- D(E_F) (states/eV per atom) = 0.000